(1)
A plane-wave DFT calculation with GGA-PBE was carried out for an optimized crystal structure of Pu2Ag2O5F2.

The structure in CIF format:
```
data_Pu2Ag2O5F2
_cell_length_a 4.261
_cell_length_b 4.261
_cell_length_c 20.487
_cell_angle_alpha 90.00
_cell_angle_beta 90.00
_cell_angle_gamma 90.00
_symmetry_space_group_name_H-M 'I 4/m m m'
_symmetry_Int_Tables_number 139
_symmetry_space_group_name_Hall '-I 4 2'
loop_
_atom_site_label
_atom_site_type_symbol
_atom_site_fract_x
_atom_site_fract_y
_atom_site_fract_z
Pu1 Pu 0.000 0.000 0.101
Ag1 Ag 0.000 0.000 0.323
O1 O 0.000 0.000 0.000
O2 O 0.000 0.500 0.108
F1 F 0.000 0.000 0.210
```

Values from the calculation:
calculated density = 7.3 g/cm³
DOS(E_F) = 16.26 states/eV/cell
ΔE_f (raw) = -2224 kJ/mol of formula units
calculated total energy = -171.906 eV per cell
total magnetization = 12.0 μB/cell

(2)
A plane-wave DFT calculation with GGA-PBE was carried out for an optimized crystal structure of AcPr2Y.

The structure in CIF format:
```
data_AcPr2Y
_cell_length_a 4.279
_cell_length_b 4.279
_cell_length_c 8.203
_cell_angle_alpha 90.00
_cell_angle_beta 90.00
_cell_angle_gamma 90.00
_symmetry_space_group_name_H-M 'P 4/m m m'
_symmetry_Int_Tables_number 123
_symmetry_space_group_name_Hall '-P 4 2'
loop_
_atom_site_label
_atom_site_type_symbol
_atom_site_fract_x
_atom_site_fract_y
_atom_site_fract_z
Ac1 Ac 0.000 0.000 0.000
Pr1 Pr 0.500 0.500 0.281
Y1 Y 0.000 0.000 0.500
```

Values from the calculation:
calculated density = 6.6 g/cm³
DOS(E_F) = 9.34 states/eV/cell
calculated total energy = -19.702 eV per cell
energy relative to the elements = 107 meV per atom
total magnetization = 0.0 μB/cell

(3)
A plane-wave DFT calculation with GGA-PBE was carried out for an optimized crystal structure of RbBa3Cr.

The structure in CIF format:
```
data_RbBa3Cr
_cell_length_a 6.318
_cell_length_b 6.318
_cell_length_c 6.318
_cell_angle_alpha 90.00
_cell_angle_beta 90.00
_cell_angle_gamma 90.00
_symmetry_space_group_name_H-M 'P m -3 m'
_symmetry_Int_Tables_number 221
_symmetry_space_group_name_Hall '-P 4 2 3'
loop_
_atom_site_label
_atom_site_type_symbol
_atom_site_fract_x
_atom_site_fract_y
_atom_site_fract_z
Rb1 Rb 0.000 0.000 0.000
Ba1 Ba 0.000 0.500 0.500
Cr1 Cr 0.500 0.500 0.500
```

Values from the calculation:
calculated density = 3.6 g/cm³
DOS(E_F) = 5.52 states/eV/cell
calculated total energy = -12.623 eV per cell
energy relative to the elements = 747 meV per atom
total magnetization = 0.0 μB/cell

(4)
A plane-wave DFT calculation with GGA-PBE was carried out for an optimized crystal structure of Tl3RhO.

The structure in CIF format:
```
data_Tl3RhO
_cell_length_a 5.206
_cell_length_b 5.206
_cell_length_c 5.206
_cell_angle_alpha 90.00
_cell_angle_beta 90.00
_cell_angle_gamma 90.00
_symmetry_space_group_name_H-M 'P m -3 m'
_symmetry_Int_Tables_number 221
_symmetry_space_group_name_Hall '-P 4 2 3'
loop_
_atom_site_label
_atom_site_type_symbol
_atom_site_fract_x
_atom_site_fract_y
_atom_site_fract_z
Tl1 Tl 0.000 0.000 0.500
Rh1 Rh 0.000 0.000 0.000
O1 O 0.500 0.500 0.500
```

Values from the calculation:
calculated density = 8.6 g/cm³
DOS(E_F) = 3.95 states/eV/cell
ΔE_f (raw) = 120 kJ/mol of formula units
calculated total energy = -18.170 eV per cell
total magnetization = 0.0 μB/cell

(5)
A plane-wave DFT calculation with GGA-PBE was carried out for an optimized crystal structure of Na2Y2Hg.

The structure in CIF format:
```
data_Na2Y2Hg
_cell_length_a 3.966
_cell_length_b 3.966
_cell_length_c 19.380
_cell_angle_alpha 90.00
_cell_angle_beta 90.00
_cell_angle_gamma 90.00
_symmetry_space_group_name_H-M 'I 4/m m m'
_symmetry_Int_Tables_number 139
_symmetry_space_group_name_Hall '-I 4 2'
loop_
_atom_site_label
_atom_site_type_symbol
_atom_site_fract_x
_atom_site_fract_y
_atom_site_fract_z
Na1 Na 0.000 0.500 0.250
Y1 Y 0.000 0.000 0.084
Hg1 Hg 0.000 0.000 0.500
```

Values from the calculation:
calculated density = 4.6 g/cm³
DOS(E_F) = 10.59 states/eV/cell
calculated total energy = -30.339 eV per cell
energy relative to the elements = 140 meV per atom
total magnetization = 0.0 μB/cell

(6)
A plane-wave DFT calculation with GGA-PBE was carried out for an optimized crystal structure of ScCuPt2.

The structure in CIF format:
```
data_ScCuPt2
_cell_length_a 3.884
_cell_length_b 3.884
_cell_length_c 8.300
_cell_angle_alpha 90.00
_cell_angle_beta 90.00
_cell_angle_gamma 90.00
_symmetry_space_group_name_H-M 'I -4 m 2'
_symmetry_Int_Tables_number 119
_symmetry_space_group_name_Hall 'I -4 -2'
loop_
_atom_site_label
_atom_site_type_symbol
_atom_site_fract_x
_atom_site_fract_y
_atom_site_fract_z
Sc1 Sc 0.000 0.000 0.000
Cu1 Cu 0.000 0.500 0.250
Pt1 Pt 0.000 0.000 0.500
Pt2 Pt 0.000 0.500 0.750
```

Values from the calculation:
calculated density = 13.2 g/cm³
DOS(E_F) = 2.45 states/eV/cell
calculated total energy = -51.605 eV per cell
energy relative to the elements = -823 meV per atom
total magnetization = 0.0 μB/cell

(7)
A plane-wave DFT calculation with GGA-PBE was carried out for an optimized crystal structure of Mn2InIr.

The structure in CIF format:
```
data_Mn2InIr
_cell_length_a 7.011
_cell_length_b 7.011
_cell_length_c 5.263
_cell_angle_alpha 90.00
_cell_angle_beta 90.00
_cell_angle_gamma 90.00
_symmetry_space_group_name_H-M 'I -4 2 d'
_symmetry_Int_Tables_number 122
_symmetry_space_group_name_Hall 'I -4 2bw'
loop_
_atom_site_label
_atom_site_type_symbol
_atom_site_fract_x
_atom_site_fract_y
_atom_site_fract_z
Mn1 Mn 0.203 0.250 0.125
In1 In 0.000 0.000 0.500
Ir1 Ir 0.000 0.000 0.000
```

Values from the calculation:
calculated density = 10.7 g/cm³
DOS(E_F) = 30.73 states/eV/cell
calculated total energy = -107.343 eV per cell
energy relative to the elements = 776 meV per atom
total magnetization = 0.0 μB/cell

(8)
A plane-wave DFT calculation with GGA-PBE was carried out for an optimized crystal structure of La2HgP.

The structure in CIF format:
```
data_La2HgP
_cell_length_a 7.514
_cell_length_b 7.514
_cell_length_c 7.514
_cell_angle_alpha 90.00
_cell_angle_beta 90.00
_cell_angle_gamma 90.00
_symmetry_space_group_name_H-M 'F m -3 m'
_symmetry_Int_Tables_number 225
_symmetry_space_group_name_Hall '-F 4 2 3'
loop_
_atom_site_label
_atom_site_type_symbol
_atom_site_fract_x
_atom_site_fract_y
_atom_site_fract_z
La1 La 0.250 0.250 0.250
Hg1 Hg 0.000 0.000 0.000
P1 P 0.000 0.000 0.500
```

Values from the calculation:
calculated density = 8.0 g/cm³
DOS(E_F) = 8.98 states/eV/cell
calculated total energy = -73.541 eV per cell
energy relative to the elements = -705 meV per atom
total magnetization = 0.0 μB/cell

(9)
A plane-wave DFT calculation with GGA-PBE was carried out for an optimized crystal structure of Tb2Pr5Dy12.

The structure in CIF format:
```
data_Tb2Pr5Dy12
_cell_length_a 17.912
_cell_length_b 9.130
_cell_length_c 8.709
_cell_angle_alpha 90.00
_cell_angle_beta 115.86
_cell_angle_gamma 90.00
_symmetry_space_group_name_H-M 'C 1 2/m 1'
_symmetry_Int_Tables_number 12
_symmetry_space_group_name_Hall '-C 2y'
loop_
_atom_site_label
_atom_site_type_symbol
_atom_site_fract_x
_atom_site_fract_y
_atom_site_fract_z
Tb1 Tb 0.000 0.173 0.000
Pr1 Pr 0.000 0.500 0.500
Pr2 Pr 0.214 0.000 0.225
Pr3 Pr 0.237 0.500 0.295
Dy1 Dy 0.046 0.500 0.183
Dy2 Dy 0.063 0.000 0.718
Dy3 Dy 0.125 0.220 0.454
Dy4 Dy 0.145 0.316 0.907
```

Values from the calculation:
calculated density = 7.7 g/cm³
DOS(E_F) = 57.37 states/eV/cell
calculated total energy = -168.744 eV per cell
energy relative to the elements = 211 meV per atom
total magnetization = 0.0 μB/cell

(10)
A plane-wave DFT calculation with GGA-PBE was carried out for an optimized crystal structure of Ac8CoN2.

The structure in CIF format:
```
data_Ac8CoN2
_cell_length_a 14.151
_cell_length_b 8.669
_cell_length_c 6.786
_cell_angle_alpha 90.00
_cell_angle_beta 92.29
_cell_angle_gamma 90.00
_symmetry_space_group_name_H-M 'C 1 2/m 1'
_symmetry_Int_Tables_number 12
_symmetry_space_group_name_Hall '-C 2y'
loop_
_atom_site_label
_atom_site_type_symbol
_atom_site_fract_x
_atom_site_fract_y
_atom_site_fract_z
Ac1 Ac 0.094 0.220 0.258
Ac2 Ac 0.154 0.500 0.767
Ac3 Ac 0.173 0.000 0.763
Co1 Co 0.000 0.000 0.500
N1 N 0.184 0.000 0.130
```

Values from the calculation:
calculated density = 7.6 g/cm³
DOS(E_F) = 23.21 states/eV/cell
ΔE_f (raw) = -382 kJ/mol of formula units
calculated total energy = -121.158 eV per cell
total magnetization = 0.0 μB/cell

(11)
A plane-wave DFT calculation with GGA-PBE was carried out for an optimized crystal structure of Zn2SnOs.

The structure in CIF format:
```
data_Zn2SnOs
_cell_length_a 3.934
_cell_length_b 3.934
_cell_length_c 18.801
_cell_angle_alpha 90.00
_cell_angle_beta 90.00
_cell_angle_gamma 90.00
_symmetry_space_group_name_H-M 'I -4 2 d'
_symmetry_Int_Tables_number 122
_symmetry_space_group_name_Hall 'I -4 2bw'
loop_
_atom_site_label
_atom_site_type_symbol
_atom_site_fract_x
_atom_site_fract_y
_atom_site_fract_z
Zn1 Zn 0.193 0.250 0.125
Sn1 Sn 0.000 0.000 0.500
Os1 Os 0.000 0.000 0.000
```

Values from the calculation:
calculated density = 10.0 g/cm³
DOS(E_F) = 9.89 states/eV/cell
calculated total energy = -63.773 eV per cell
energy relative to the elements = 459 meV per atom
total magnetization = 0.0 μB/cell

(12)
A plane-wave DFT calculation with GGA-PBE was carried out for an optimized crystal structure of Ba3Li2Pd4.

The structure in CIF format:
```
data_Ba3Li2Pd4
_cell_length_a 11.418
_cell_length_b 4.576
_cell_length_c 9.189
_cell_angle_alpha 90.00
_cell_angle_beta 101.27
_cell_angle_gamma 90.00
_symmetry_space_group_name_H-M 'C 1 2/m 1'
_symmetry_Int_Tables_number 12
_symmetry_space_group_name_Hall '-C 2y'
loop_
_atom_site_label
_atom_site_type_symbol
_atom_site_fract_x
_atom_site_fract_y
_atom_site_fract_z
Ba1 Ba 0.000 0.000 0.000
Ba2 Ba 0.120 0.500 0.380
Li1 Li 0.181 0.500 0.795
Pd1 Pd 0.090 0.000 0.639
Pd2 Pd 0.239 0.500 0.092
```

Values from the calculation:
calculated density = 6.0 g/cm³
DOS(E_F) = 9.50 states/eV/cell
calculated total energy = -68.876 eV per cell
energy relative to the elements = -452 meV per atom
total magnetization = 0.0 μB/cell